1.
Computed, not measured: La6Hg2N after structural relaxation at the GGA-PBE level of DFT.

Summary:
- magnetization (μB/cell) = 0.00
- space group = P4_2/mnm, No. 136
- calculated volume (Å³ per atom) = 34.36
- formation energy without anion corrections (eV per atom) = -0.34

a = 7.255 Å, b = 7.255 Å, c = 11.750 Å
α = 90.00°, β = 90.00°, γ = 90.00°
Fractional coordinates of all 18 atoms:
Hg 0.000 0.000 0.364
Hg 0.500 0.500 0.136
Hg 0.500 0.500 0.864
Hg 0.000 0.000 0.636
La 0.310 0.310 0.650
La 0.765 0.765 0.000
La 0.310 0.310 0.350
La 0.235 0.235 0.000
La 0.190 0.810 0.850
La 0.190 0.810 0.150
La 0.810 0.190 0.850
La 0.690 0.690 0.650
La 0.690 0.690 0.350
La 0.265 0.735 0.500
La 0.735 0.265 0.500
La 0.810 0.190 0.150
N 0.500 0.500 0.500
N 0.000 0.000 0.000


2.
Computed, not measured: CdBi after structural relaxation at the GGA-PBE level of DFT.

Summary:
- formation enthalpy at 0 K (eV/f.u.) = 0.20
- magnetization (μB/cell) = 0.00
- space group = I4_1/amd, No. 141
- calculated volume (Å³ per atom) = 28.61

a = 4.506 Å, b = 4.506 Å, c = 11.717 Å
α = 101.08°, β = 101.08°, γ = 90.00°
Fractional coordinates of all 8 atoms:
Cd 0.923 0.423 0.847
Cd 0.173 0.173 0.347
Cd 0.827 0.827 0.653
Cd 0.577 0.077 0.153
Bi 0.691 0.691 0.381
Bi 0.059 0.559 0.119
Bi 0.309 0.309 0.619
Bi 0.441 0.941 0.881


3.
Computed, not measured: LiSi2Tc after structural relaxation at the GGA-PBE level of DFT.

Summary:
- magnetization (μB/cell) = 0.00
- space group = P4/mmm, No. 123
- calculated volume (Å³ per atom) = 12.95
- formation energy without anion corrections (eV per atom) = -0.30

a = 3.098 Å, b = 3.098 Å, c = 5.395 Å
α = 90.00°, β = 90.00°, γ = 90.00°
Fractional coordinates of all 4 atoms:
Tc 0.500 0.500 0.250
Si 0.000 0.000 0.501
Si 0.000 0.000 0.999
Li 0.500 0.500 0.750


4.
Computed, not measured: CsLiNp2Te4 after structural relaxation at the GGA-PBE level of DFT.

Summary:
- magnetization (μB/cell) = 16.00
- space group = Cmcm, No. 63
- calculated volume (Å³ per atom) = 35.32
- formation energy without anion corrections (eV per atom) = -0.84

a = 4.593 Å, b = 8.070 Å, c = 15.903 Å
α = 90.00°, β = 90.00°, γ = 106.53°
Each line ends with the local moment (μB).
Fractional coordinates of all 16 atoms:
Te 0.000 0.000 0.500  -0.10
Te 0.739 0.479 0.895  -0.09
Te 0.422 0.844 0.750  -0.07
Te 0.000 0.000 0.000  -0.10
Te 0.578 0.156 0.250  -0.07
Te 0.261 0.521 0.105  -0.09
Te 0.739 0.479 0.605  -0.09
Te 0.261 0.521 0.395  -0.09
Np 0.631 0.263 0.440  4.02
Np 0.631 0.263 0.060  4.02
Np 0.369 0.737 0.560  4.02
Np 0.369 0.737 0.940  4.02
Li 0.832 0.663 0.750  0.00
Li 0.168 0.337 0.250  0.00
Cs 0.890 0.780 0.250  0.00
Cs 0.110 0.220 0.750  0.00


5.
Computed, not measured: P3W after structural relaxation at the GGA-PBE level of DFT.

Summary:
- formation enthalpy at 0 K (eV/f.u.) = 2.04
- magnetization (μB/cell) = 0.00
- space group = Cmmm, No. 65
- calculated volume (Å³ per atom) = 13.84

a = 4.363 Å, b = 4.363 Å, c = 3.038 Å
α = 90.00°, β = 90.00°, γ = 106.82°
Fractional coordinates of all 4 atoms:
P 0.500 0.500 0.000
P 0.000 0.500 0.500
P 0.500 0.000 0.500
W 0.000 0.000 0.000


6.
Computed, not measured: SrPdN2 after structural relaxation at the GGA-PBE level of DFT.

Summary:
- magnetization (μB/cell) = 0.33
- space group = R-3m, No. 166
- calculated volume (Å³ per atom) = 16.37
- formation energy without anion corrections (eV per atom) = 0.94

a = 6.628 Å, b = 6.628 Å, c = 6.628 Å
α = 30.25°, β = 30.25°, γ = 30.25°
Each line ends with the local moment (μB).
Fractional coordinates of all 4 atoms:
Sr 0.000 0.000 0.000  0.10
N 0.876 0.876 0.876  0.01
N 0.124 0.124 0.124  0.01
Pd 0.500 0.500 0.500  0.01


- Look up the calculated volume of the first one.
  34.36 Å³ per atom


- Look up the magnetization of the third one.
  0.00 μB/cell


- Among the records above, which one has the highest magnetization?
  CsLiNp2Te4


- Which of these has the highest calculated volume?
  CsLiNp2Te4